Entry 1:
A plane-wave DFT calculation with GGA-PBEsol was carried out for a relaxed structure of OsC2.

Lattice parameters (Å, degrees): 6.9154 2.7774 5.6747 90.00 94.72 90.00
With the nearest neighbours (Å) after each atom.
Space group C2/m (No. 12)
Asymmetric unit:
1 Os 0.2266 0.0000 0.2718 (multiplicity 4)  7 C 2.10-2.35
2 C 0.0586 0.0000 0.6146 (multiplicity 4)  1 C 1.48
3 C 0.1048 0.5000 0.0209 (multiplicity 4)  1 C 1.45

Values from the calculation:
Energy of formation from the pure elements (meV per atom): 834
Total magnetization (μB per cell): 0.0
Crystal system: monoclinic

Entry 2:
A plane-wave DFT calculation with GGA-PBEsol was carried out for a relaxed structure of NiAsRu.

Lattice parameters (Å, degrees): 2.9052 3.5806 7.5025 90.00 90.00 90.00
With the nearest neighbours (Å) after each atom.
Space group Imm2 (No. 44)
Asymmetric unit:
1 Ni 0.0000 0.0000 0.0000 (multiplicity 2)  5 As 2.44-2.65, 5 Ru 2.57-2.59
2 As 0.0000 0.0000 0.3250 (multiplicity 2)  5 Ni 2.44-2.65, 5 Ru 2.50-2.62
3 Ru 0.0000 0.0000 0.6578 (multiplicity 2)  5 As 2.50-2.62, 5 Ni 2.57-2.59

Values from the calculation:
Energy of formation from the pure elements (meV per atom): 108
Total magnetization (μB per cell): 1.9
Crystal system: orthorhombic

Entry 3:
A plane-wave DFT calculation with GGA-PBEsol was carried out for a relaxed structure of ScTlCdAg2.

Lattice parameters (Å, degrees): 5.0704 5.0704 5.2068 90.00 90.00 90.00
With the nearest neighbours (Å) after each atom.
Space group P4/mmm (No. 123)
Asymmetric unit:
1 Sc 0.0000 0.0000 0.0000 (multiplicity 1)  4 Cd 3.59, 8 Ag 3.63
2 Tl 0.5000 0.5000 0.5000 (multiplicity 1)  4 Ag 2.54, 2 Cd 2.60
3 Cd 0.5000 0.5000 0.0000 (multiplicity 1)  2 Tl 2.60
4 Ag 0.0000 0.5000 0.5000 (multiplicity 2)  2 Tl 2.54

Values from the calculation:
Energy of formation from the pure elements (meV per atom): 700
Total magnetization (μB per cell): 0.6
Crystal system: tetragonal

Number 1: electronic total energy -9.67 eV per atom. Number 2: electronic total energy -7.04 eV per atom. Number 3: electronic total energy -2.71 eV per atom.